No. 1
SrH6O4 after structural relaxation, computed with PBE.

- magnetization (μB per cell) = 0.0
- total DFT energy (no corrections) (eV per cell) = -48.19
- crystal system = tetragonal

a b c (Å): 4.915 4.915 4.915
angles (deg): 111.67 111.67 105.16
Fractional coordinates of all 11 atoms:
Sr (0.000, 0.000, 0.000)
H (0.000, 0.500, 0.500)
H (0.064, 0.499, 0.000)
H (0.499, 0.064, 0.000)
H (0.500, 0.000, 0.500)
H (0.501, 0.501, 0.565)
H (0.936, 0.936, 0.435)
O (0.145, 0.145, 0.577)
O (0.432, 0.855, 0.000)
O (0.568, 0.568, 0.423)
O (0.855, 0.432, 0.000)



No. 2
RbBaFe2Br8 after structural relaxation, computed with PBE.

- magnetization (μB per cell) = 9.0
- E_form (uncorrected) (eV/atom) = -1.107
- crystal system = trigonal

a b c (Å): 7.056 7.056 10.901
angles (deg): 90.00 90.00 120.00
Fractional coordinates of all 12 atoms:
Rb (0.000, 0.000, 0.000)
Ba (0.000, 0.000, 0.500)
Fe (0.333, 0.667, 0.767)
Fe (0.667, 0.333, 0.233)
Br (0.004, 0.349, 0.697)
Br (0.333, 0.667, 0.983)
Br (0.345, 0.996, 0.697)
Br (0.349, 0.345, 0.303)
Br (0.651, 0.655, 0.697)
Br (0.655, 0.004, 0.303)
Br (0.667, 0.333, 0.017)
Br (0.996, 0.651, 0.303)



No. 3
AlSbRu2 after structural relaxation, computed with PBE.

- magnetization (μB per cell) = 0.0
- E_form (uncorrected) (eV/atom) = 0.205
- crystal system = trigonal

a b c (Å): 8.551 8.551 8.551
angles (deg): 20.56 20.56 20.56
Fractional coordinates of all 4 atoms:
Al (0.000, 0.000, 0.000)
Sb (0.236, 0.236, 0.236)
Ru (0.487, 0.487, 0.487)
Ru (0.738, 0.738, 0.738)



No. 4
Sc2FeAu after structural relaxation, computed with PBE.

- magnetization (μB per cell) = 0.0
- DFT formation energy (eV/atom) = -0.477
- crystal system = orthorhombic

a b c (Å): 3.176 3.216 6.796
angles (deg): 90.00 90.00 90.00
Fractional coordinates of all 4 atoms:
Sc (0.000, 0.000, 0.221)
Sc (0.000, 0.000, 0.779)
Fe (0.500, 0.500, 0.000)
Au (0.500, 0.500, 0.500)



No. 5
Ac3Nd12Tl after structural relaxation, computed with PBE.

- magnetization (μB per cell) = 0.0
- DFT formation energy (eV/atom) = -0.016
- crystal system = tetragonal

a b c (Å): 5.209 5.209 21.094
angles (deg): 90.00 90.00 90.00
Fractional coordinates of all 16 atoms:
Ac (0.000, 0.000, 0.000)
Ac (0.000, 0.000, 0.255)
Ac (0.000, 0.000, 0.745)
Nd (0.000, 0.500, 0.128)
Nd (0.000, 0.500, 0.384)
Nd (0.000, 0.500, 0.616)
Nd (0.000, 0.500, 0.872)
Nd (0.500, 0.000, 0.128)
Nd (0.500, 0.000, 0.384)
Nd (0.500, 0.000, 0.616)
Nd (0.500, 0.000, 0.872)
Nd (0.500, 0.500, 0.000)
Nd (0.500, 0.500, 0.259)
Nd (0.500, 0.500, 0.500)
Nd (0.500, 0.500, 0.741)
Tl (0.000, 0.000, 0.500)



No. 6
Rb2Pu2ZrTe6 after structural relaxation, computed with PBE.

- magnetization (μB per cell) = 10.0
- E_form (uncorrected) (eV/atom) = -1.028
- crystal system = monoclinic

a b c (Å): 7.594 7.594 9.155
angles (deg): 98.32 98.32 119.71
Fractional coordinates of all 11 atoms:
Rb (0.171, 0.829, 0.000)
Rb (0.829, 0.171, 0.000)
Pu (0.332, 0.668, 0.500)
Pu (0.668, 0.332, 0.500)
Zr (0.000, 0.000, 0.500)
Te (0.071, 0.386, 0.696)
Te (0.251, 0.251, 0.306)
Te (0.386, 0.071, 0.696)
Te (0.614, 0.929, 0.304)
Te (0.749, 0.749, 0.694)
Te (0.929, 0.614, 0.304)



No. 7
BaEuCd after structural relaxation, computed with PBE.

- magnetization (μB per cell) = 7.4
- DFT formation energy (eV/atom) = -0.212
- crystal system = tetragonal

a b c (Å): 7.766 7.766 7.766
angles (deg): 149.16 149.16 44.17
Fractional coordinates of all 3 atoms:
Ba (0.000, 0.000, 0.000)
Eu (0.274, 0.274, 0.000)
Cd (0.653, 0.653, 0.000)



No. 8
Pm8Pd2Ru after structural relaxation, computed with PBE.

- magnetization (μB per cell) = 0.0
- DFT formation energy (eV/atom) = -0.326
- crystal system = monoclinic

a b c (Å): 9.203 9.203 6.924
angles (deg): 101.70 101.70 32.61
Fractional coordinates of all 11 atoms:
Pm (0.031, 0.031, 0.287)
Pm (0.201, 0.201, 0.826)
Pm (0.337, 0.337, 0.529)
Pm (0.412, 0.412, 0.061)
Pm (0.588, 0.588, 0.939)
Pm (0.663, 0.663, 0.471)
Pm (0.799, 0.799, 0.174)
Pm (0.969, 0.969, 0.713)
Pd (0.195, 0.195, 0.235)
Pd (0.805, 0.805, 0.765)
Ru (0.500, 0.500, 0.500)